A relaxed structure of Tb2NdOs, computed with PBE.

a b c (Å): 3.4330 3.4330 9.3867
angles (deg): 90.00 90.00 90.00
Last column: nearest neighbours and their distance in Å.
Space group P4/mmm (No. 123)
Asymmetric unit:
Tb 0.0000 0.0000 0.1770 [2 per cell]  4 Os 2.94
Nd 0.5000 0.5000 0.5000 [1 per cell]  4 Nd 3.43
Os 0.5000 0.5000 0.0000 [1 per cell]  8 Tb 2.94

Formation energy in eV per atom: -0.11
E in eV per atom: -6.420
Density of states at the Fermi level in states/eV per atom: 0.670
Offset from the most stable computed form in eV per atom: 0.0842